(1)
# GGA-PBE Nd2Sm2Tm, optimized geometry
# - Energy of formation from the pure elements: 0.1455 eV/atom
# - Final energy: -4.5436 eV per atom
# - E above lowest polymorph: 4 kJ/mol of formula units
data_Nd2Sm2Tm
_chemical_formula_sum 'Nd2 Sm2 Tm1'
_cell_length_a 3.498
_cell_length_b 6.197
_cell_length_c 8.807
_cell_angle_alpha 103.68
_cell_angle_beta 101.42
_cell_angle_gamma 106.31
_symmetry_space_group_name_H-M 'P -1'
_symmetry_Int_Tables_number 2
loop_
_symmetry_equiv_pos_as_xyz
'x,y,z'
'-x,-y,-z'
loop_
_atom_site_label
_atom_site_type_symbol
_atom_site_fract_x
_atom_site_fract_y
_atom_site_fract_z
Nd1 Nd 0.124 0.447 0.299
Sm1 Sm 0.305 0.197 0.911
Tm1 Tm 0.000 0.000 0.500

(2)
# GGA-PBE NdSm3Tm7, optimized geometry
# - Energy of formation from the pure elements: 0.1878 eV/atom
# - Final energy: -4.3782 eV per atom
# - E above lowest polymorph: 31 kJ/mol of formula units
data_NdSm3Tm7
_chemical_formula_sum 'Nd1 Sm3 Tm7'
_cell_length_a 7.0086
_cell_length_b 7.0086
_cell_length_c 8.6213
_cell_angle_alpha 90.00
_cell_angle_beta 90.00
_cell_angle_gamma 120.00
_symmetry_space_group_name_H-M 'P 3 m 1'
_symmetry_Int_Tables_number 156
loop_
_symmetry_equiv_pos_as_xyz
'x,y,z'
'-y,x-y,z'
'-x+y,-x,z'
'-y,-x,z'
'-x+y,y,z'
'x,x-y,z'
loop_
_atom_site_label
_atom_site_type_symbol
_atom_site_fract_x
_atom_site_fract_y
_atom_site_fract_z
Nd1 Nd 0.0000 0.0000 0.0000
Sm1 Sm 0.1671 0.3343 0.6615
Tm1 Tm 0.0018 0.5009 0.0020
Tm2 Tm 0.3327 0.1663 0.3266
Tm3 Tm 0.3333 0.6667 0.3254

(3)
# GGA-PBE NdSm12Tm6, optimized geometry
# - Energy of formation from the pure elements: 0.1405 eV/atom
# - Final energy: -4.5030 eV per atom
# - E above lowest polymorph: 0 kJ/mol of formula units
data_NdSm12Tm6
_chemical_formula_sum 'Nd3 Sm36 Tm18'
_cell_length_a 12.0207
_cell_length_b 12.0207
_cell_length_c 15.2045
_cell_angle_alpha 90.00
_cell_angle_beta 90.00
_cell_angle_gamma 120.00
_symmetry_space_group_name_H-M 'R -3'
_symmetry_Int_Tables_number 148
_symmetry_space_group_name_Hall '-R 3'
loop_
_atom_site_label
_atom_site_type_symbol
_atom_site_fract_x
_atom_site_fract_y
_atom_site_fract_z
Nd1 Nd 0.0000 0.0000 0.0000
Sm1 Sm 0.0065 0.8298 0.1919
Sm2 Sm 0.0457 0.8496 0.4164
Tm1 Tm 0.0130 0.4269 0.6853

(4)
# GGA-PBE Nd7Sm3Tm2, optimized geometry
# - Energy of formation from the pure elements: 0.2699 eV/atom
# - Final energy: -4.4364 eV per atom
# - E above lowest polymorph: 206 kJ/mol of formula units
data_Nd7Sm3Tm2
_chemical_formula_sum 'Nd7 Sm3 Tm2'
_cell_length_a 6.317
_cell_length_b 5.641
_cell_length_c 12.243
_cell_angle_alpha 90.00
_cell_angle_beta 91.58
_cell_angle_gamma 90.00
_symmetry_space_group_name_H-M 'P 1 2/m 1'
_symmetry_Int_Tables_number 10
loop_
_symmetry_equiv_pos_as_xyz
'x,y,z'
'-x,-y,-z'
'-x,y,-z'
'x,-y,z'
loop_
_atom_site_label
_atom_site_type_symbol
_atom_site_fract_x
_atom_site_fract_y
_atom_site_fract_z
Nd1 Nd 0.000 0.000 0.000
Nd2 Nd 0.093 0.500 0.170
Nd3 Nd 0.245 0.500 0.451
Nd4 Nd 0.441 0.000 0.188
Sm1 Sm 0.068 0.000 0.660
Sm2 Sm 0.500 0.500 0.000
Tm1 Tm 0.373 0.500 0.722

(5)
# GGA-PBE NdSm2Tm4, optimized geometry
# - Energy of formation from the pure elements: 0.2308 eV/atom
# - Final energy: -4.3538 eV per atom
# - E above lowest polymorph: 141 kJ/mol of formula units
data_NdSm2Tm4
_chemical_formula_sum 'Nd2 Sm4 Tm8'
_cell_length_a 10.630
_cell_length_b 8.452
_cell_length_c 6.466
_cell_angle_alpha 90.00
_cell_angle_beta 127.33
_cell_angle_gamma 90.00
_symmetry_space_group_name_H-M 'C 1 2/m 1'
_symmetry_Int_Tables_number 12
loop_
_symmetry_equiv_pos_as_xyz
'x,y,z'
'-x,-y,-z'
'-x,y,-z'
'x,-y,z'
'x+1/2,y+1/2,z'
'-x+1/2,-y+1/2,-z'
'-x+1/2,y+1/2,-z'
'x+1/2,-y+1/2,z'
loop_
_atom_site_label
_atom_site_type_symbol
_atom_site_fract_x
_atom_site_fract_y
_atom_site_fract_z
Nd1 Nd 0.000 0.000 0.000
Sm1 Sm 0.000 0.500 0.250
Tm1 Tm 0.196 0.196 0.697

(6)
# GGA-PBE NdSm4Tm6, optimized geometry
# - Energy of formation from the pure elements: 0.4648 eV/atom
# - Final energy: -4.1237 eV per atom
# - E above lowest polymorph: 160 kJ/mol of formula units
data_NdSm4Tm6
_chemical_formula_sum 'Nd2 Sm8 Tm12'
_cell_length_a 7.756
_cell_length_b 7.756
_cell_length_c 12.808
_cell_angle_alpha 90.00
_cell_angle_beta 90.00
_cell_angle_gamma 90.00
_symmetry_space_group_name_H-M 'I -4 2 m'
_symmetry_Int_Tables_number 121
_symmetry_space_group_name_Hall 'I -4 2'
loop_
_atom_site_label
_atom_site_type_symbol
_atom_site_fract_x
_atom_site_fract_y
_atom_site_fract_z
Nd1 Nd 0.000 0.000 0.000
Sm1 Sm 0.172 0.172 0.426
Tm1 Tm 0.000 0.500 0.000
Tm2 Tm 0.244 0.244 0.684

(7)
# GGA-PBE Nd3Sm2Tm7, optimized geometry
# - Energy of formation from the pure elements: 0.0928 eV/atom
# - Final energy: -4.4941 eV per atom
# - E above lowest polymorph: 4 kJ/mol of formula units
data_Nd3Sm2Tm7
_chemical_formula_sum 'Nd3 Sm2 Tm7'
_cell_length_a 6.327
_cell_length_b 3.521
_cell_length_c 17.472
_cell_angle_alpha 90.00
_cell_angle_beta 96.29
_cell_angle_gamma 90.00
_symmetry_space_group_name_H-M 'P 1 2/m 1'
_symmetry_Int_Tables_number 10
loop_
_symmetry_equiv_pos_as_xyz
'x,y,z'
'-x,-y,-z'
'-x,y,-z'
'x,-y,z'
loop_
_atom_site_label
_atom_site_type_symbol
_atom_site_fract_x
_atom_site_fract_y
_atom_site_fract_z
Nd1 Nd 0.000 0.000 0.000
Nd2 Nd 0.045 0.500 0.659
Sm1 Sm 0.446 0.000 0.325
Tm1 Tm 0.229 0.500 0.164
Tm2 Tm 0.246 0.000 0.500
Tm3 Tm 0.275 0.000 0.836
Tm4 Tm 0.500 0.500 0.000

(8)
# GGA-PBE Nd3Sm8Tm2, optimized geometry
# - Energy of formation from the pure elements: 0.2230 eV/atom
# - Final energy: -4.4693 eV per atom
# - E above lowest polymorph: 81 kJ/mol of formula units
data_Nd3Sm8Tm2
_chemical_formula_sum 'Nd6 Sm16 Tm4'
_cell_length_a 20.244
_cell_length_b 7.761
_cell_length_c 5.767
_cell_angle_alpha 90.00
_cell_angle_beta 90.04
_cell_angle_gamma 90.00
_symmetry_space_group_name_H-M 'C 1 2/m 1'
_symmetry_Int_Tables_number 12
loop_
_symmetry_equiv_pos_as_xyz
'x,y,z'
'-x,-y,-z'
'-x,y,-z'
'x,-y,z'
'x+1/2,y+1/2,z'
'-x+1/2,-y+1/2,-z'
'-x+1/2,y+1/2,-z'
'x+1/2,-y+1/2,z'
loop_
_atom_site_label
_atom_site_type_symbol
_atom_site_fract_x
_atom_site_fract_y
_atom_site_fract_z
Nd1 Nd 0.000 0.000 0.000
Nd2 Nd 0.000 0.290 0.500
Sm1 Sm 0.109 0.292 0.000
Sm2 Sm 0.136 0.000 0.499
Sm3 Sm 0.174 0.500 0.501
Tm1 Tm 0.241 0.000 0.998